The following is a DFT calculation (GGA-PBE) of LiNd2As3Pt4 after structural relaxation.

Summary:
The total magnetic moment is 0.00 μB/atom. For the energy, the calculation gives -5.86 eV per atom. The calculation puts the density of states at the Fermi level at 4.4 states/eV per cell. The value obtained for the energy of formation from the pure elements is -908.1 meV per atom.

Structure (CIF):
```
data_LiNd2As3Pt4
_chemical_formula_sum 'Li1 Nd2 As3 Pt4'
_space_group_name_H-M_alt 'P 1'
_space_group_IT_number 1
_space_group_name_Hall 'P 1'
_cell_length_a 4.3451
_cell_length_b 4.3451
_cell_length_c 10.1553
_cell_angle_alpha 90.00
_cell_angle_beta 90.00
_cell_angle_gamma 90.00
loop_
_atom_site_label
_atom_site_fract_x
_atom_site_fract_y
_atom_site_fract_z
Li1 0.5000 0.5000 0.5000
Nd1 0.0000 0.5000 0.7571
Pt1 0.0000 0.0000 0.0000
As1 0.5000 0.0000 0.8629
Pt2 0.5000 0.0000 0.6220
Pt3 0.5000 0.5000 0.0000
As2 0.0000 0.0000 0.5000
Pt4 0.0000 0.5000 0.3780
As3 0.0000 0.5000 0.1371
Nd2 0.5000 0.0000 0.2429
```

***

The following is a DFT calculation (GGA-PBE) of LiNdAs2Rh after structural relaxation.

Summary:
The total magnetic moment is 0.00 μB/atom. For the energy, the calculation gives -5.62 eV per atom. The calculation puts the density of states at the Fermi level at 1.6 states/eV per cell. The value obtained for the energy of formation from the pure elements is -949.8 meV per atom.

Structure (CIF):
```
data_LiNdAs2Rh
_chemical_formula_sum 'Li1 Nd1 As2 Rh1'
_space_group_name_H-M_alt 'P 1'
_space_group_IT_number 1
_space_group_name_Hall 'P 1'
_cell_length_a 4.1284
_cell_length_b 4.1284
_cell_length_c 6.1035
_cell_angle_alpha 109.77
_cell_angle_beta 109.77
_cell_angle_gamma 90.00
loop_
_atom_site_label
_atom_site_fract_x
_atom_site_fract_y
_atom_site_fract_z
Rh1 0.7500 0.2500 0.5000
Li1 0.2500 0.7500 0.5000
Nd1 0.0000 0.0000 0.0000
As1 0.6207 0.6207 0.2413
As2 0.3793 0.3793 0.7587
```

***

The following is a DFT calculation (GGA-PBE) of LiNd2As3Rh4 after structural relaxation.

Summary:
The total magnetic moment is 0.00 μB/atom. For the energy, the calculation gives -6.39 eV per atom. The calculation puts the density of states at the Fermi level at 3.1 states/eV per cell. The value obtained for the energy of formation from the pure elements is -911.3 meV per atom.

Structure (CIF):
```
data_LiNd2As3Rh4
_chemical_formula_sum 'Li1 Nd2 As3 Rh4'
_space_group_name_H-M_alt 'P 1'
_space_group_IT_number 1
_space_group_name_Hall 'P 1'
_cell_length_a 4.1716
_cell_length_b 4.1716
_cell_length_c 10.3217
_cell_angle_alpha 90.00
_cell_angle_beta 90.00
_cell_angle_gamma 90.00
loop_
_atom_site_label
_atom_site_fract_x
_atom_site_fract_y
_atom_site_fract_z
Rh1 0.5000 0.0000 0.6288
Nd1 0.0000 0.5000 0.7459
Li1 0.5000 0.5000 0.5000
Rh2 0.0000 0.0000 0.0000
Nd2 0.5000 0.0000 0.2541
Rh3 0.5000 0.5000 0.0000
As1 0.5000 0.0000 0.8619
As2 0.0000 0.0000 0.5000
Rh4 0.0000 0.5000 0.3712
As3 0.0000 0.5000 0.1381
```

***

The following is a DFT calculation (GGA-PBE) of LiNdAsRh after structural relaxation.

Summary:
The total magnetic moment is 0.00 μB/atom. For the energy, the calculation gives -5.41 eV per atom. The value obtained for the energy of formation from the pure elements is -735.8 meV per atom.

Structure (CIF):
```
data_LiNdAsRh
_chemical_formula_sum 'Li1 Nd1 As1 Rh1'
_space_group_name_H-M_alt 'P 1'
_space_group_IT_number 1
_space_group_name_Hall 'P 1'
_cell_length_a 4.6479
_cell_length_b 4.6479
_cell_length_c 4.6479
_cell_angle_alpha 60.00
_cell_angle_beta 60.00
_cell_angle_gamma 60.00
loop_
_atom_site_label
_atom_site_fract_x
_atom_site_fract_y
_atom_site_fract_z
Li1 0.7500 0.7500 0.7500
Nd1 0.5000 0.5000 0.5000
As1 0.0000 0.0000 0.0000
Rh1 0.2500 0.2500 0.2500
```

***

The following is a DFT calculation (GGA-PBE) of Li2NdAsS4 after structural relaxation.

Summary:
The total magnetic moment is 0.00 μB/atom. For the energy, the calculation gives -4.85 eV per atom. The calculation puts the formation energy (no corrections) at -1.131 eV/atom.

Structure (CIF):
```
data_Li2NdAsS4
_chemical_formula_sum 'Li2 Nd1 As1 S4'
_space_group_name_H-M_alt 'P 1'
_space_group_IT_number 1
_space_group_name_Hall 'P 1'
_cell_length_a 3.8888
_cell_length_b 6.7358
_cell_length_c 6.5586
_cell_angle_alpha 109.84
_cell_angle_beta 90.00
_cell_angle_gamma 90.00
loop_
_atom_site_label
_atom_site_fract_x
_atom_site_fract_y
_atom_site_fract_z
Li1 0.5000 0.0000 0.5000
S1 0.5000 0.7714 0.7548
As1 0.0000 0.0000 0.0000
S2 0.0000 0.7709 0.2539
Nd1 0.5000 0.5000 0.0000
S3 0.5000 0.2286 0.2452
S4 0.0000 0.2291 0.7461
Li2 0.0000 0.5000 0.5000
```

***

The following is a DFT calculation (GGA-PBE) of LiNd2UAs4 after structural relaxation.

Summary:
The total magnetic moment is 0.12 μB/atom. For the energy, the calculation gives -6.14 eV per atom. The calculation puts the density of states at the Fermi level at 5.4 states/eV per cell. The value obtained for the energy of formation from the pure elements is -970.3 meV per atom.

Structure (CIF):
```
data_LiNd2UAs4
_chemical_formula_sum 'Li1 Nd2 U1 As4'
_space_group_name_H-M_alt 'P 1'
_space_group_IT_number 1
_space_group_name_Hall 'P 1'
_cell_length_a 4.1895
_cell_length_b 7.1123
_cell_length_c 7.1825
_cell_angle_alpha 108.78
_cell_angle_beta 90.00
_cell_angle_gamma 90.00
loop_
_atom_site_label
_atom_site_fract_x
_atom_site_fract_y
_atom_site_fract_z
Nd1 0.0000 0.5000 0.5000
As1 0.0000 0.2422 0.7686
As2 0.5000 0.2414 0.2321
Nd2 0.5000 0.0000 0.5000
As3 0.0000 0.7578 0.2314
Li1 0.5000 0.5000 0.0000
As4 0.5000 0.7586 0.7679
U1 0.0000 0.0000 0.0000
```

***

The following is a DFT calculation (GGA-PBE) of LiNiAs after structural relaxation.

Summary:
The total magnetic moment is 0.00 μB/atom. For the energy, the calculation gives -4.24 eV per atom. The calculation puts the density of states at the Fermi level at 0.6 states/eV per cell. The value obtained for the energy of formation from the pure elements is -123.6 meV per atom.

Structure (CIF):
```
data_LiNiAs
_chemical_formula_sum 'Li1 Ni1 As1'
_space_group_name_H-M_alt 'P 1'
_space_group_IT_number 1
_space_group_name_Hall 'P 1'
_cell_length_a 2.9725
_cell_length_b 2.9725
_cell_length_c 5.9349
_cell_angle_alpha 90.00
_cell_angle_beta 90.00
_cell_angle_gamma 120.00
loop_
_atom_site_label
_atom_site_fract_x
_atom_site_fract_y
_atom_site_fract_z
Ni1 0.3333 0.6667 0.6961
As1 0.0000 0.0000 0.9651
Li1 0.6667 0.3333 0.3388
```

***

The following is a DFT calculation (GGA-PBE) of Li2Ni2As after structural relaxation.

Summary:
The total magnetic moment is 0.00 μB/atom. For the energy, the calculation gives -4.24 eV per atom. The calculation puts the density of states at the Fermi level at 6.9 states/eV per cell. The value obtained for the energy of formation from the pure elements is -229.7 meV per atom.

Structure (CIF):
```
data_Li2Ni2As
_chemical_formula_sum 'Li4 Ni4 As2'
_space_group_name_H-M_alt 'P 1'
_space_group_IT_number 1
_space_group_name_Hall 'P 1'
_cell_length_a 5.8906
_cell_length_b 5.8906
_cell_length_c 4.1132
_cell_angle_alpha 90.00
_cell_angle_beta 90.00
_cell_angle_gamma 90.00
loop_
_atom_site_label
_atom_site_fract_x
_atom_site_fract_y
_atom_site_fract_z
As1 0.5000 0.5000 0.0000
Ni1 0.8566 0.6434 0.0000
Li1 0.8328 0.3328 0.5000
Li2 0.6672 0.8328 0.5000
Ni2 0.3566 0.8566 0.0000
Ni3 0.6434 0.1434 0.0000
Li3 0.3328 0.1672 0.5000
As2 0.0000 0.0000 0.0000
Li4 0.1672 0.6672 0.5000
Ni4 0.1434 0.3566 0.0000
```

***

The following is a DFT calculation (GGA-PBE) of LiNi12As6 after structural relaxation.

Summary:
The total magnetic moment is 0.00 μB/atom. For the energy, the calculation gives -5.36 eV per atom. The calculation puts the density of states at the Fermi level at 9.4 states/eV per cell. The value obtained for the energy of formation from the pure elements is -137.5 meV per atom.

Structure (CIF):
```
data_LiNi12As6
_chemical_formula_sum 'Li1 Ni12 As6'
_space_group_name_H-M_alt 'P 1'
_space_group_IT_number 1
_space_group_name_Hall 'P 1'
_cell_length_a 6.7455
_cell_length_b 6.7455
_cell_length_c 6.7455
_cell_angle_alpha 104.93
_cell_angle_beta 104.93
_cell_angle_gamma 104.93
loop_
_atom_site_label
_atom_site_fract_x
_atom_site_fract_y
_atom_site_fract_z
Ni1 0.1664 0.4336 0.4336
As1 0.2471 0.6890 0.2471
As2 0.3110 0.7529 0.7529
Ni2 0.8765 0.5000 0.1235
Ni3 0.5000 0.8765 0.1235
As3 0.7529 0.7529 0.3110
As4 0.6890 0.2471 0.2471
Ni4 0.5000 0.1235 0.8765
As5 0.2471 0.2471 0.6890
Ni5 0.1235 0.8765 0.5000
Ni6 0.8336 0.5664 0.5664
As6 0.7529 0.3110 0.7529
Ni7 0.5664 0.5664 0.8336
Ni8 0.1235 0.5000 0.8765
Li1 0.0000 0.0000 0.0000
Ni9 0.4336 0.1664 0.4336
Ni10 0.8765 0.1235 0.5000
Ni11 0.5664 0.8336 0.5664
Ni12 0.4336 0.4336 0.1664
```

***

The following is a DFT calculation (GGA-PBE) of LiNi14As after structural relaxation.

Summary:
The total magnetic moment is 0.47 μB/atom. For the energy, the calculation gives -5.52 eV per atom. The calculation puts the density of states at the Fermi level at 24.6 states/eV per cell. The value obtained for the energy of formation from the pure elements is -46.6 meV per atom.

Structure (CIF):
```
data_LiNi14As
_chemical_formula_sum 'Li1 Ni14 As1'
_space_group_name_H-M_alt 'P 1'
_space_group_IT_number 1
_space_group_name_Hall 'P 1'
_cell_length_a 4.9822
_cell_length_b 4.9822
_cell_length_c 8.1758
_cell_angle_alpha 90.00
_cell_angle_beta 90.00
_cell_angle_gamma 119.42
loop_
_atom_site_label
_atom_site_fract_x
_atom_site_fract_y
_atom_site_fract_z
Ni1 0.5476 0.9533 0.5000
Ni2 0.7056 0.2944 0.0000
Ni3 0.2056 0.7944 0.0000
Ni4 0.7078 0.7947 0.0000
Ni5 0.0467 0.4524 0.5000
Ni6 0.8735 0.6257 0.2496
Ni7 0.3734 0.6266 0.2459
Ni8 0.8722 0.1278 0.2485
Li1 0.5452 0.4548 0.5000
Ni9 0.3743 0.1265 0.2496
Ni10 0.8722 0.1278 0.7515
Ni11 0.3743 0.1265 0.7504
Ni12 0.2053 0.2922 0.0000
As1 0.0496 0.9504 0.5000
Ni13 0.8735 0.6257 0.7504
Ni14 0.3734 0.6266 0.7541
```

***

The following is a DFT calculation (GGA-PBE) of LiNiAs4 after structural relaxation.

Summary:
The total magnetic moment is 0.05 μB/atom. For the energy, the calculation gives -4.01 eV per atom. The calculation puts the density of states at the Fermi level at 5.3 states/eV per cell. The value obtained for the energy of formation from the pure elements is 370.9 meV per atom.

Structure (CIF):
```
data_LiNiAs4
_chemical_formula_sum 'Li1 Ni1 As4'
_space_group_name_H-M_alt 'P 1'
_space_group_IT_number 1
_space_group_name_Hall 'P 1'
_cell_length_a 5.4651
_cell_length_b 5.4651
_cell_length_c 5.4651
_cell_angle_alpha 60.00
_cell_angle_beta 60.00
_cell_angle_gamma 60.00
loop_
_atom_site_label
_atom_site_fract_x
_atom_site_fract_y
_atom_site_fract_z
As1 0.3748 0.8757 0.3748
As2 0.8757 0.3748 0.3748
Li1 0.7500 0.7500 0.7500
As3 0.3748 0.3748 0.8757
Ni1 0.0000 0.0000 0.0000
As4 0.3748 0.3748 0.3748
```

***

The following is a DFT calculation (GGA-PBE) of LiNiAs after structural relaxation.

Summary:
The total magnetic moment is 0.00 μB/atom. For the energy, the calculation gives -4.45 eV per atom. The calculation puts the density of states at the Fermi level at 1.1 states/eV per cell. The value obtained for the energy of formation from the pure elements is -334.0 meV per atom.

Structure (CIF):
```
data_LiNiAs
_chemical_formula_sum 'Li1 Ni1 As1'
_space_group_name_H-M_alt 'P 1'
_space_group_IT_number 1
_space_group_name_Hall 'P 1'
_cell_length_a 4.4521
_cell_length_b 4.4521
_cell_length_c 4.4521
_cell_angle_alpha 140.99
_cell_angle_beta 134.78
_cell_angle_gamma 61.23
loop_
_atom_site_label
_atom_site_fract_x
_atom_site_fract_y
_atom_site_fract_z
Ni1 0.3465 0.3465 0.0000
Li1 0.6666 0.6666 0.0000
As1 0.9869 0.9869 0.0000
```